The following is a DFT calculation (PBE) of an optimized crystal structure of PuPd3Pb3.

Cell lengths 9.2327, 9.2327, 6.6478 Å; angles 90.00, 90.00, 120.00 degrees
Space group R3m (No. 160, hexagonal axes)
One atom of each set of equivalent atoms:
Pu: 0.0000 0.0000 0.0000 x3
Pd: 0.0060 0.5030 0.4678 x9
Pb: 0.2053 0.4106 0.2153 x9

Computed properties:
The calculation puts the formation energy at -1.52 eV per formula unit. The final energy is -6.08 eV per atom.